(1)
## Ca2CeBi3 (GGA-PBE)

Data for a relaxed Ca2CeBi3 crystal.

abc: 5.0636 6.5321 7.4150
angles: 116.13 109.96 90.00
Closest atoms and distances in Å follow each position.
Atoms (fractional coordinates):
Ca  0.3341  0.8341  0.6682  6 Bi 3.25-3.32
Ca  0.6659  0.1659  0.3318  6 Bi 3.25-3.32
Bi  0.0000  0.0000  0.0000  4 Ca 3.25, 2 Ce 3.27
Bi  0.3403  0.3403  0.6806  2 Ce 3.21, 4 Ca 3.27-3.32
Bi  0.6597  0.6597  0.3194  2 Ce 3.21, 4 Ca 3.27-3.32
Ce  0.0000  0.5000  0.0000  6 Bi 3.21-3.27

Values from the calculation:
Its energy relative to the elements is -0.7047 eV/atom.

(2)
## CaCeBi2 (GGA-PBE)

Data for a relaxed CaCeBi2 crystal.

abc: 4.6389 4.6389 7.8313
angles: 72.77 72.77 60.00
Closest atoms and distances in Å follow each position.
Atoms (fractional coordinates):
Bi  0.2539  0.2539  0.2382  3 Ce 3.20, 3 Ca 3.30
Bi  0.7461  0.7461  0.7618  3 Ce 3.20, 3 Ca 3.30
Ca  0.5000  0.5000  0.5000  6 Bi 3.30
Ce  0.0000  0.0000  0.0000  6 Bi 3.20

Values from the calculation:
The calculation puts the polymorph energy (0 for the lowest one) at 0 meV/atom. Its energy relative to the elements is -0.7781 eV/atom.

(3)
## CaCe2Bi9 (GGA-PBE)

Data for a relaxed CaCe2Bi9 crystal.

abc: 4.8901 4.8901 15.4339
angles: 90.00 90.00 90.00
Closest atoms and distances in Å follow each position.
Atoms (fractional coordinates):
Bi  0.5000  0.0000  0.5000  8 Bi 3.46-3.56, 4 Ce 3.48
Bi  0.5000  0.5000  0.6676  4 Ce 3.46, 8 Bi 3.51-3.56
Bi  0.5000  0.0000  0.8307  8 Bi 3.46-3.58, 2 Ca 3.58, 2 Ce 3.59
Bi  0.5000  0.5000  0.0000  4 Ca 3.46, 8 Bi 3.58
Bi  0.0000  0.5000  0.5000  8 Bi 3.46-3.56, 4 Ce 3.48
Bi  0.5000  0.0000  0.1693  8 Bi 3.46-3.58, 2 Ca 3.58, 2 Ce 3.59
Bi  0.5000  0.5000  0.3324  4 Ce 3.46, 8 Bi 3.51-3.56
Bi  0.0000  0.5000  0.1693  8 Bi 3.46-3.58, 2 Ca 3.58, 2 Ce 3.59
Bi  0.0000  0.5000  0.8307  8 Bi 3.46-3.58, 2 Ca 3.58, 2 Ce 3.59
Ce  0.0000  0.0000  0.6604  12 Bi 3.46-3.59
Ce  0.0000  0.0000  0.3396  12 Bi 3.46-3.59
Ca  0.0000  0.0000  0.0000  12 Bi 3.46-3.58

Values from the calculation:
Its energy relative to the elements is -0.4311 eV/atom.

(4)
## CaCeBi2 (GGA-PBE)

Data for a relaxed CaCeBi2 crystal.

abc: 3.5454 5.9132 5.9132
angles: 90.00 90.00 90.00
Closest atoms and distances in Å follow each position.
Atoms (fractional coordinates):
Bi  0.0000  0.5000  0.0000  4 Ca 3.45, 4 Ce 3.45, 2 Bi 3.55
Bi  0.0000  0.0000  0.5000  4 Ce 3.45, 4 Ca 3.45, 2 Bi 3.55
Ce  0.5000  0.5000  0.5000  8 Bi 3.45, 2 Ce 3.55
Ca  0.5000  0.0000  0.0000  8 Bi 3.45, 2 Ca 3.55

Values from the calculation:
The calculation puts the polymorph energy (0 for the lowest one) at 94 meV/atom. Its energy relative to the elements is -0.6845 eV/atom.

(5)
## CaCeBi2 (GGA-PBE)

Data for a relaxed CaCeBi2 crystal.

abc: 5.6136 5.6136 5.6136
angles: 60.00 60.00 60.00
Closest atoms and distances in Å follow each position.
Atoms (fractional coordinates):
Ce  0.0000  0.0000  0.0000  8 Bi 3.44
Bi  0.7500  0.7500  0.7500  4 Ce 3.44, 4 Ca 3.44
Bi  0.2500  0.2500  0.2500  4 Ca 3.44, 4 Ce 3.44
Ca  0.5000  0.5000  0.5000  8 Bi 3.44

Values from the calculation:
The calculation puts the polymorph energy (0 for the lowest one) at 130 meV/atom. Its energy relative to the elements is -0.6482 eV/atom.

(6)
## Ca5CeBi4 (GGA-PBE)

Data for a relaxed Ca5CeBi4 crystal.

abc: 4.8687 8.6393 10.4360
angles: 114.46 103.49 90.00
Closest atoms and distances in Å follow each position.
Atoms (fractional coordinates):
Bi  0.9999  0.7433  0.9999  4 Ca 3.10-3.22, 2 Ce 3.29
Bi  0.0001  0.2567  0.0001  4 Ca 3.10-3.22, 2 Ce 3.29
Bi  0.2982  0.7982  0.5963  6 Ca 3.22-3.31
Bi  0.7018  0.2018  0.4037  6 Ca 3.22-3.31
Ca  0.8315  0.5980  0.6630  4 Bi 3.10-3.31
Ca  0.1684  0.9348  0.3368  4 Bi 3.10-3.31
Ca  0.1685  0.4020  0.3370  4 Bi 3.10-3.31
Ca  0.5000  0.5000  0.0000  4 Bi 3.22
Ca  0.8316  0.0652  0.6632  4 Bi 3.10-3.31
Ce  0.5000  0.0000  0.0000  4 Bi 3.29

Values from the calculation:
Its energy relative to the elements is -0.6989 eV/atom.

Question: Among the records above, which one has the lowest energy relative to the elements?
Answer: number 2

Question: Number 4 is which compound?
Answer: CaCeBi2

Question: What is the energy relative to the elements in the fourth record?
Answer: -0.6845 eV/atom

Question: Which of these has the lowest energy relative to the elements?
Answer: number 2